Compound: SrEuFeBiO6
Source: Alexandria via LeMat-Bulk
Functional: PBE+U
Structure: relaxed

Values from the calculation:
- Final energy: -69.78 eV for the cell shown
- M_tot: 11.535 Bohr magnetons per cell

a = 5.822 Å, b = 5.822 Å, c = 5.822 Å
α = 60.00°, β = 60.00°, γ = 60.00°
Fractional coordinates of all 10 atoms:
Sr 0.000 0.000 0.000
Eu 0.500 0.500 0.500
Fe 0.250 0.250 0.250
Bi 0.750 0.750 0.750
O 0.007 0.007 0.493
O 0.007 0.493 0.007
O 0.007 0.493 0.493
O 0.493 0.007 0.007
O 0.493 0.007 0.493
O 0.493 0.493 0.007